This record from Alexandria describes an optimized crystal structure of NdEuGd. The functional is PBE.

Computed properties:
The raw total energy is -9.669 eV/atom. Its space group is I4mm (107). For the volume, the calculation gives 107 Å³ per cell. Its density of states at the Fermi level is 3.8 states/eV/f.u. The magnetization is 14.75 μB per formula unit. Its energy of formation from the pure elements is 0.1 eV per formula unit.

CIF file:
```
data_NdEuGd
_symmetry_space_group_name_H-M 'P 1'
_symmetry_Int_Tables_number 1
_cell_length_a 8.301
_cell_length_b 8.301
_cell_length_c 8.301
_cell_angle_alpha 154.30
_cell_angle_beta 154.30
_cell_angle_gamma 36.66
loop_
_symmetry_equiv_pos_as_xyz
'x,y,z'
loop_
_atom_site_label
_atom_site_type_symbol
_atom_site_fract_x
_atom_site_fract_y
_atom_site_fract_z
_atom_site_occupancy
Nd1 Nd 0.000 0.000 0.000 1
Eu1 Eu 0.324 0.324 0.000 1
Gd1 Gd 0.653 0.653 0.000 1
```



This record from Alexandria describes an optimized crystal structure of TiBe2Ir. The functional is PBE.

Computed properties:
The raw total energy is -6.013 eV/atom. Its space group is I-42d (122). For the volume, the calculation gives 109 Å³ per cell. Its density of states at the Fermi level is 1.2 states/eV/f.u. The magnetization is 0.00 μB per formula unit. Its energy of formation from the pure elements is 0.2 eV per formula unit.

CIF file:
```
data_TiBe2Ir
_symmetry_space_group_name_H-M 'P 1'
_symmetry_Int_Tables_number 1
_cell_length_a 8.810
_cell_length_b 8.810
_cell_length_c 8.810
_cell_angle_alpha 156.51
_cell_angle_beta 156.51
_cell_angle_gamma 33.46
loop_
_symmetry_equiv_pos_as_xyz
'x,y,z'
loop_
_atom_site_label
_atom_site_type_symbol
_atom_site_fract_x
_atom_site_fract_y
_atom_site_fract_z
_atom_site_occupancy
Ti1 Ti 0.000 0.000 0.000 1
Ti2 Ti 0.750 0.250 0.500 1
Be1 Be 0.180 0.625 0.055 1
Be2 Be 0.375 0.430 0.555 1
Be3 Be 0.570 0.125 0.945 1
Be4 Be 0.875 0.820 0.445 1
Ir1 Ir 0.250 0.750 0.500 1
Ir2 Ir 0.500 0.500 0.000 1
```



This record from Alexandria describes an optimized crystal structure of Zn4CuAs. The functional is PBE.

Computed properties:
The raw total energy is -2.096 eV/atom. Its space group is F-43m (216). For the volume, the calculation gives 94 Å³ per cell. Its density of states at the Fermi level is 3.3 states/eV/f.u. The magnetization is 0.00 μB per formula unit. Its energy of formation from the pure elements is 1.3 eV per formula unit.

CIF file:
```
data_Zn4CuAs
_symmetry_space_group_name_H-M 'P 1'
_symmetry_Int_Tables_number 1
_cell_length_a 5.112
_cell_length_b 5.112
_cell_length_c 5.112
_cell_angle_alpha 60.00
_cell_angle_beta 60.00
_cell_angle_gamma 60.00
loop_
_symmetry_equiv_pos_as_xyz
'x,y,z'
loop_
_atom_site_label
_atom_site_type_symbol
_atom_site_fract_x
_atom_site_fract_y
_atom_site_fract_z
_atom_site_occupancy
Zn1 Zn 0.376 0.376 0.376 1
Zn2 Zn 0.376 0.376 0.873 1
Zn3 Zn 0.376 0.873 0.376 1
Zn4 Zn 0.873 0.376 0.376 1
Cu1 Cu 0.750 0.750 0.750 1
As1 As 0.000 0.000 0.000 1
```



This record from Alexandria describes an optimized crystal structure of LaTbGdCd. The functional is PBE.

Computed properties:
The raw total energy is -6.187 eV/atom. Its space group is F-43m (216). For the volume, the calculation gives 122 Å³ per cell. Its density of states at the Fermi level is 5.8 states/eV/f.u. The magnetization is 8.03 μB per formula unit. Its energy of formation from the pure elements is -0.2 eV per formula unit.

CIF file:
```
data_LaTbGdCd
_symmetry_space_group_name_H-M 'P 1'
_symmetry_Int_Tables_number 1
_cell_length_a 5.567
_cell_length_b 5.567
_cell_length_c 5.567
_cell_angle_alpha 60.00
_cell_angle_beta 60.00
_cell_angle_gamma 60.00
loop_
_symmetry_equiv_pos_as_xyz
'x,y,z'
loop_
_atom_site_label
_atom_site_type_symbol
_atom_site_fract_x
_atom_site_fract_y
_atom_site_fract_z
_atom_site_occupancy
La1 La 0.000 0.000 0.000 1
Tb1 Tb 0.250 0.250 0.250 1
Gd1 Gd 0.500 0.500 0.500 1
Cd1 Cd 0.750 0.750 0.750 1
```



This record from Alexandria describes an optimized crystal structure of Hg2P4PdO8. The functional is PBE.

Computed properties:
The raw total energy is -5.624 eV/atom. Its space group is Fddd (70). For the volume, the calculation gives 826 Å³ per cell. Its density of states at the Fermi level is 0.0 states/eV/f.u. As for the formation energy (no corrections): -1.151 eV per atom. The magnetization is 0.00 μB per formula unit.

CIF file:
```
data_Hg2P4PdO8
_symmetry_space_group_name_H-M 'P 1'
_symmetry_Int_Tables_number 1
_cell_length_a 12.386
_cell_length_b 11.788
_cell_length_c 9.042
_cell_angle_alpha 71.60
_cell_angle_beta 64.56
_cell_angle_gamma 43.84
loop_
_symmetry_equiv_pos_as_xyz
'x,y,z'
loop_
_atom_site_label
_atom_site_type_symbol
_atom_site_fract_x
_atom_site_fract_y
_atom_site_fract_z
_atom_site_occupancy
Hg1 Hg 0.000 0.000 0.000 1
Hg2 Hg 0.000 0.000 0.500 1
Hg3 Hg 0.000 0.500 0.000 1
Hg4 Hg 0.500 0.000 0.000 1
P1 P 0.201 0.655 0.342 1
P2 P 0.301 0.342 0.655 1
P3 P 0.342 0.301 0.201 1
P4 P 0.345 0.799 0.699 1
P5 P 0.655 0.201 0.301 1
P6 P 0.658 0.699 0.799 1
P7 P 0.699 0.658 0.345 1
P8 P 0.799 0.345 0.658 1
Pd1 Pd 0.375 0.375 0.375 1
Pd2 Pd 0.625 0.625 0.625 1
O1 O 0.116 0.481 0.747 1
O2 O 0.116 0.761 0.216 1
O3 O 0.155 0.747 0.481 1
O4 O 0.216 0.407 0.116 1
O5 O 0.239 0.884 0.593 1
O6 O 0.253 0.845 0.884 1
O7 O 0.407 0.216 0.761 1
O8 O 0.481 0.116 0.155 1
O9 O 0.519 0.884 0.845 1
O10 O 0.593 0.784 0.239 1
O11 O 0.747 0.155 0.116 1
O12 O 0.761 0.116 0.407 1
O13 O 0.784 0.593 0.884 1
O14 O 0.845 0.253 0.519 1
O15 O 0.884 0.239 0.784 1
O16 O 0.884 0.519 0.253 1
```



This record from Alexandria describes an optimized crystal structure of NaS2Br2O6. The functional is PBE.

Computed properties:
The raw total energy is -4.952 eV/atom. Its space group is P-3 (147). For the volume, the calculation gives 233 Å³ per cell. Its density of states at the Fermi level is 3.0 states/eV/f.u. As for the formation energy (no corrections): -1.073 eV per atom. The magnetization is 0.92 μB per formula unit.

CIF file:
```
data_NaS2Br2O6
_symmetry_space_group_name_H-M 'P 1'
_symmetry_Int_Tables_number 1
_cell_length_a 5.728
_cell_length_b 5.728
_cell_length_c 8.187
_cell_angle_alpha 90.00
_cell_angle_beta 90.00
_cell_angle_gamma 120.00
loop_
_symmetry_equiv_pos_as_xyz
'x,y,z'
loop_
_atom_site_label
_atom_site_type_symbol
_atom_site_fract_x
_atom_site_fract_y
_atom_site_fract_z
_atom_site_occupancy
Na1 Na 0.000 0.000 0.000 1
S1 S 0.333 0.667 0.806 1
S2 S 0.667 0.333 0.194 1
Br1 Br 0.333 0.667 0.507 1
Br2 Br 0.667 0.333 0.493 1
O1 O 0.120 0.726 0.836 1
O2 O 0.274 0.393 0.836 1
O3 O 0.393 0.120 0.164 1
O4 O 0.607 0.880 0.836 1
O5 O 0.726 0.607 0.164 1
O6 O 0.880 0.274 0.164 1
```



This record from Alexandria describes an optimized crystal structure of Ti5Zn3. The functional is PBE.

Computed properties:
The raw total energy is -5.575 eV/atom. Its space group is P4/mmm (123). For the volume, the calculation gives 129 Å³ per cell. Its density of states at the Fermi level is 6.9 states/eV/f.u. The magnetization is 0.00 μB per formula unit. Its energy of formation from the pure elements is -1.3 eV per formula unit.

CIF file:
```
data_Ti5Zn3
_symmetry_space_group_name_H-M 'P 1'
_symmetry_Int_Tables_number 1
_cell_length_a 2.991
_cell_length_b 2.991
_cell_length_c 14.417
_cell_angle_alpha 90.00
_cell_angle_beta 90.00
_cell_angle_gamma 90.00
loop_
_symmetry_equiv_pos_as_xyz
'x,y,z'
loop_
_atom_site_label
_atom_site_type_symbol
_atom_site_fract_x
_atom_site_fract_y
_atom_site_fract_z
_atom_site_occupancy
Ti1 Ti 0.000 0.000 0.000 1
Ti2 Ti 0.000 0.000 0.247 1
Ti3 Ti 0.000 0.000 0.753 1
Ti4 Ti 0.500 0.500 0.375 1
Ti5 Ti 0.500 0.500 0.625 1
Zn1 Zn 0.000 0.000 0.500 1
Zn2 Zn 0.500 0.500 0.122 1
Zn3 Zn 0.500 0.500 0.878 1
```



This record from Alexandria describes an optimized crystal structure of Ca4InCu. The functional is PBE.

Computed properties:
The raw total energy is -2.669 eV/atom. Its space group is C2/c (15). For the volume, the calculation gives 374 Å³ per cell. Its density of states at the Fermi level is 4.8 states/eV/f.u. The magnetization is 0.00 μB per formula unit. Its energy of formation from the pure elements is -1.2 eV per formula unit.

CIF file:
```
data_Ca4InCu
_symmetry_space_group_name_H-M 'P 1'
_symmetry_Int_Tables_number 1
_cell_length_a 8.421
_cell_length_b 8.421
_cell_length_c 6.060
_cell_angle_alpha 100.59
_cell_angle_beta 100.59
_cell_angle_gamma 112.79
loop_
_symmetry_equiv_pos_as_xyz
'x,y,z'
loop_
_atom_site_label
_atom_site_type_symbol
_atom_site_fract_x
_atom_site_fract_y
_atom_site_fract_z
_atom_site_occupancy
Ca1 Ca 0.056 0.713 0.940 1
Ca2 Ca 0.222 0.372 0.647 1
Ca3 Ca 0.287 0.944 0.560 1
Ca4 Ca 0.372 0.222 0.147 1
Ca5 Ca 0.628 0.778 0.853 1
Ca6 Ca 0.713 0.056 0.440 1
Ca7 Ca 0.778 0.628 0.353 1
Ca8 Ca 0.944 0.287 0.060 1
In1 In 0.369 0.631 0.250 1
In2 In 0.631 0.369 0.750 1
Cu1 Cu 0.001 0.999 0.750 1
Cu2 Cu 0.999 0.001 0.250 1
```



This record from Alexandria describes an optimized crystal structure of Ca3Ho2PuN6. The functional is PBE.

Computed properties:
The raw total energy is -7.930 eV/atom. Its space group is C2/m (12). For the volume, the calculation gives 176 Å³ per cell. Its density of states at the Fermi level is 6.2 states/eV/f.u. As for the formation energy (no corrections): -1.309 eV per atom. The magnetization is 2.00 μB per formula unit.

CIF file:
```
data_Ca3Ho2PuN6
_symmetry_space_group_name_H-M 'P 1'
_symmetry_Int_Tables_number 1
_cell_length_a 5.984
_cell_length_b 5.984
_cell_length_c 6.029
_cell_angle_alpha 99.52
_cell_angle_beta 99.52
_cell_angle_gamma 120.08
loop_
_symmetry_equiv_pos_as_xyz
'x,y,z'
loop_
_atom_site_label
_atom_site_type_symbol
_atom_site_fract_x
_atom_site_fract_y
_atom_site_fract_z
_atom_site_occupancy
Ca1 Ca 0.000 0.000 0.000 1
Ca2 Ca 0.333 0.667 0.000 1
Ca3 Ca 0.667 0.333 0.000 1
Ho1 Ho 0.167 0.833 0.500 1
Ho2 Ho 0.833 0.167 0.500 1
Pu1 Pu 0.500 0.500 0.500 1
N1 N 0.116 0.426 0.279 1
N2 N 0.266 0.266 0.712 1
N3 N 0.426 0.116 0.279 1
N4 N 0.574 0.884 0.721 1
N5 N 0.734 0.734 0.288 1
N6 N 0.884 0.574 0.721 1
```



This record from Alexandria describes an optimized crystal structure of Ac2CeNbN4. The functional is PBE.

Computed properties:
The raw total energy is -8.084 eV/atom. Its space group is Cmcm (63). For the volume, the calculation gives 296 Å³ per cell. Its density of states at the Fermi level is 8.0 states/eV/f.u. As for the formation energy (no corrections): -0.893 eV per atom. The magnetization is 1.05 μB per formula unit.

CIF file:
```
data_Ac2CeNbN4
_symmetry_space_group_name_H-M 'P 1'
_symmetry_Int_Tables_number 1
_cell_length_a 6.470
_cell_length_b 6.470
_cell_length_c 13.372
_cell_angle_alpha 90.00
_cell_angle_beta 90.00
_cell_angle_gamma 148.06
loop_
_symmetry_equiv_pos_as_xyz
'x,y,z'
loop_
_atom_site_label
_atom_site_type_symbol
_atom_site_fract_x
_atom_site_fract_y
_atom_site_fract_z
_atom_site_occupancy
Ac1 Ac 0.134 0.866 0.538 1
Ac2 Ac 0.134 0.866 0.962 1
Ac3 Ac 0.866 0.134 0.038 1
Ac4 Ac 0.866 0.134 0.462 1
Ce1 Ce 0.410 0.590 0.750 1
Ce2 Ce 0.590 0.410 0.250 1
Nb1 Nb 0.323 0.677 0.250 1
Nb2 Nb 0.677 0.323 0.750 1
N1 N 0.071 0.929 0.750 1
N2 N 0.219 0.781 0.141 1
N3 N 0.219 0.781 0.359 1
N4 N 0.500 0.500 0.000 1
N5 N 0.500 0.500 0.500 1
N6 N 0.781 0.219 0.641 1
N7 N 0.781 0.219 0.859 1
N8 N 0.929 0.071 0.250 1
```



This record from Alexandria describes an optimized crystal structure of La3SiBi. The functional is PBE.

Computed properties:
The raw total energy is -5.469 eV/atom. Its space group is C2/c (15). For the volume, the calculation gives 663 Å³ per cell. Its density of states at the Fermi level is 4.6 states/eV/f.u. As for the formation energy (no corrections): -0.652 eV per atom. The magnetization is 0.00 μB per formula unit.

CIF file:
```
data_La3SiBi
_symmetry_space_group_name_H-M 'P 1'
_symmetry_Int_Tables_number 1
_cell_length_a 8.829
_cell_length_b 8.829
_cell_length_c 8.546
_cell_angle_alpha 90.38
_cell_angle_beta 90.38
_cell_angle_gamma 84.03
loop_
_symmetry_equiv_pos_as_xyz
'x,y,z'
loop_
_atom_site_label
_atom_site_type_symbol
_atom_site_fract_x
_atom_site_fract_y
_atom_site_fract_z
_atom_site_occupancy
La1 La 0.005 0.174 0.408 1
La2 La 0.064 0.433 0.810 1
La3 La 0.174 0.005 0.908 1
La4 La 0.300 0.461 0.413 1
La5 La 0.433 0.064 0.310 1
La6 La 0.461 0.300 0.913 1
La7 La 0.539 0.700 0.087 1
La8 La 0.567 0.936 0.690 1
La9 La 0.700 0.539 0.587 1
La10 La 0.826 0.995 0.092 1
La11 La 0.936 0.567 0.190 1
La12 La 0.995 0.826 0.592 1
Si1 Si 0.182 0.283 0.127 1
Si2 Si 0.283 0.182 0.627 1
Si3 Si 0.717 0.818 0.373 1
Si4 Si 0.818 0.717 0.873 1
Bi1 Bi 0.180 0.820 0.250 1
Bi2 Bi 0.345 0.655 0.750 1
Bi3 Bi 0.655 0.345 0.250 1
Bi4 Bi 0.820 0.180 0.750 1
```



This record from Alexandria describes an optimized crystal structure of LiZnCo2. The functional is PBE.

Computed properties:
The raw total energy is -4.191 eV/atom. Its space group is P4/mmm (123). For the volume, the calculation gives 49 Å³ per cell. Its density of states at the Fermi level is 3.5 states/eV/f.u. The magnetization is 2.97 μB per formula unit. Its energy of formation from the pure elements is 0.6 eV per formula unit.

CIF file:
```
data_LiZnCo2
_symmetry_space_group_name_H-M 'P 1'
_symmetry_Int_Tables_number 1
_cell_length_a 2.480
_cell_length_b 2.480
_cell_length_c 8.012
_cell_angle_alpha 90.00
_cell_angle_beta 90.00
_cell_angle_gamma 90.00
loop_
_symmetry_equiv_pos_as_xyz
'x,y,z'
loop_
_atom_site_label
_atom_site_type_symbol
_atom_site_fract_x
_atom_site_fract_y
_atom_site_fract_z
_atom_site_occupancy
Li1 Li 0.000 0.000 0.000 1
Zn1 Zn 0.000 0.000 0.500 1
Co1 Co 0.500 0.500 0.258 1
Co2 Co 0.500 0.500 0.742 1
```